No. 1
Material: KNiIr2
Method: DFT, SCAN
State: single point on PBEsol structure

Results
SG: Cmmm (65)
calculated volume: 124.6 Å³ per cell
crystal system: orthorhombic
formation energy: 1023 meV per atom
E above lowest polymorph: 2.18 eV/f.u.
DOS(E_F): 4.00 states/eV/f.u.

```
data_KNiIr2
_space_group_name_H-M_alt 'P 1'
_space_group_IT_number 1
_space_group_name_Hall 'P 1'
_cell_length_a 5.4555
_cell_length_b 8.9646
_cell_length_c 2.5470
_cell_angle_alpha 90.00
_cell_angle_beta 90.00
_cell_angle_gamma 90.00
loop_
_atom_site_label
_atom_site_type_symbol
_atom_site_fract_x
_atom_site_fract_y
_atom_site_fract_z
K1 K 0.0000 0.0000 0.0000
K2 K 0.5000 0.5000 0.0000
Ni1 Ni 0.0000 0.5000 0.0000
Ni2 Ni 0.5000 0.0000 0.0000
Ir1 Ir 0.2500 0.2500 0.5000
Ir2 Ir 0.2500 0.7500 0.5000
Ir3 Ir 0.7500 0.2500 0.5000
Ir4 Ir 0.7500 0.7500 0.5000
```



No. 2
Material: KNiIr
Method: DFT, SCAN
State: single point on PBEsol structure

Results
SG: F-43m (216)
calculated volume: 236.1 Å³ per cell
crystal system: cubic
formation energy: 1371 meV per atom
E above lowest polymorph: 0.00 eV/f.u.
DOS(E_F): 2.85 states/eV/f.u.

```
data_KNiIr
_space_group_name_H-M_alt 'P 1'
_space_group_IT_number 1
_space_group_name_Hall 'P 1'
_cell_length_a 6.1810
_cell_length_b 6.1810
_cell_length_c 6.1810
_cell_angle_alpha 90.00
_cell_angle_beta 90.00
_cell_angle_gamma 90.00
loop_
_atom_site_label
_atom_site_type_symbol
_atom_site_fract_x
_atom_site_fract_y
_atom_site_fract_z
K1 K 0.0000 0.0000 0.0000
K2 K 0.0000 0.5000 0.5000
K3 K 0.5000 0.0000 0.5000
K4 K 0.5000 0.5000 0.0000
Ni1 Ni 0.2500 0.2500 0.2500
Ni2 Ni 0.2500 0.7500 0.7500
Ni3 Ni 0.7500 0.2500 0.7500
Ni4 Ni 0.7500 0.7500 0.2500
Ir1 Ir 0.0000 0.0000 0.5000
Ir2 Ir 0.0000 0.5000 0.0000
Ir3 Ir 0.5000 0.0000 0.0000
Ir4 Ir 0.5000 0.5000 0.5000
```



No. 3
Material: KNiIr2
Method: DFT, SCAN
State: single point on PBEsol structure

Results
SG: Cm (8)
calculated volume: 153.4 Å³ per cell
crystal system: monoclinic
formation energy: 478 meV per atom
E above lowest polymorph: 0.00 eV/f.u.
DOS(E_F): 3.44 states/eV/f.u.

```
data_KNiIr2
_space_group_name_H-M_alt 'P 1'
_space_group_IT_number 1
_space_group_name_Hall 'P 1'
_cell_length_a 8.6655
_cell_length_b 2.6990
_cell_length_c 6.6046
_cell_angle_alpha 90.00
_cell_angle_beta 96.59
_cell_angle_gamma 90.00
loop_
_atom_site_label
_atom_site_type_symbol
_atom_site_fract_x
_atom_site_fract_y
_atom_site_fract_z
K1 K 0.0000 0.0000 0.0000
K2 K 0.5000 0.5000 0.0000
Ni1 Ni 0.2302 0.0000 0.6663
Ni2 Ni 0.7302 0.5000 0.6663
Ir1 Ir 0.0064 0.5000 0.4929
Ir2 Ir 0.2680 0.5000 0.3672
Ir3 Ir 0.5064 0.0000 0.4929
Ir4 Ir 0.7680 0.0000 0.3672
```



No. 4
Material: KNiIr2
Method: DFT, SCAN
State: single point on PBEsol structure

Results
SG: Pmmm (47)
calculated volume: 71.7 Å³ per cell
crystal system: orthorhombic
formation energy: 633 meV per atom
E above lowest polymorph: 0.62 eV/f.u.
DOS(E_F): 4.18 states/eV/f.u.

```
data_KNiIr2
_space_group_name_H-M_alt 'P 1'
_space_group_IT_number 1
_space_group_name_Hall 'P 1'
_cell_length_a 2.5739
_cell_length_b 3.6750
_cell_length_c 7.5790
_cell_angle_alpha 90.00
_cell_angle_beta 90.00
_cell_angle_gamma 90.00
loop_
_atom_site_label
_atom_site_type_symbol
_atom_site_fract_x
_atom_site_fract_y
_atom_site_fract_z
K1 K 0.0000 0.0000 0.0000
Ni1 Ni 0.0000 0.0000 0.5000
Ir1 Ir 0.5000 0.5000 0.3348
Ir2 Ir 0.5000 0.5000 0.6652
```



No. 5
Material: KIrO3
Method: DFT, SCAN
State: single point on PBEsol structure

Results
SG: Pn-3 (201)
calculated volume: 845.5 Å³ per cell
crystal system: cubic
E_form (uncorrected): -118 kJ per mole of atoms
DOS(E_F): 1.90 states/eV/f.u.

```
data_KIrO3
_space_group_name_H-M_alt 'P 1'
_space_group_IT_number 1
_space_group_name_Hall 'P 1'
_cell_length_a 9.4561
_cell_length_b 9.4561
_cell_length_c 9.4561
_cell_angle_alpha 90.00
_cell_angle_beta 90.00
_cell_angle_gamma 90.00
loop_
_atom_site_label
_atom_site_type_symbol
_atom_site_fract_x
_atom_site_fract_y
_atom_site_fract_z
K1 K 0.0000 0.0000 0.0000
K2 K 0.0000 0.5000 0.5000
K3 K 0.0958 0.0958 0.4042
K4 K 0.0958 0.4042 0.0958
K5 K 0.4042 0.0958 0.0958
K6 K 0.4042 0.4042 0.4042
K7 K 0.5000 0.0000 0.5000
K8 K 0.5000 0.5000 0.0000
K9 K 0.5958 0.5958 0.5958
K10 K 0.5958 0.9042 0.9042
K11 K 0.9042 0.5958 0.9042
K12 K 0.9042 0.9042 0.5958
Ir1 Ir 0.0915 0.2500 0.7500
Ir2 Ir 0.2500 0.5915 0.7500
Ir3 Ir 0.2500 0.7500 0.0915
Ir4 Ir 0.2500 0.7500 0.4085
Ir5 Ir 0.2500 0.9085 0.7500
Ir6 Ir 0.4085 0.2500 0.7500
Ir7 Ir 0.5915 0.7500 0.2500
Ir8 Ir 0.7500 0.0915 0.2500
Ir9 Ir 0.7500 0.2500 0.5915
Ir10 Ir 0.7500 0.2500 0.9085
Ir11 Ir 0.7500 0.4085 0.2500
Ir12 Ir 0.9085 0.7500 0.2500
O1 O 0.0454 0.7464 0.0965
O2 O 0.0454 0.7536 0.4035
O3 O 0.0965 0.0454 0.7464
O4 O 0.0965 0.4546 0.7536
O5 O 0.1116 0.7500 0.7500
O6 O 0.2464 0.5965 0.9546
O7 O 0.2464 0.9035 0.5454
O8 O 0.2500 0.2500 0.6116
O9 O 0.2500 0.2500 0.8884
O10 O 0.2500 0.6116 0.2500
O11 O 0.2500 0.8884 0.2500
O12 O 0.2536 0.5965 0.5454
O13 O 0.2536 0.9035 0.9546
O14 O 0.3884 0.7500 0.7500
O15 O 0.4035 0.0454 0.7536
O16 O 0.4035 0.4546 0.7464
O17 O 0.4546 0.7464 0.4035
O18 O 0.4546 0.7536 0.0965
O19 O 0.5454 0.2464 0.9035
O20 O 0.5454 0.2536 0.5965
O21 O 0.5965 0.5454 0.2536
O22 O 0.5965 0.9546 0.2464
O23 O 0.6116 0.2500 0.2500
O24 O 0.7464 0.0965 0.0454
O25 O 0.7464 0.4035 0.4546
O26 O 0.7500 0.1116 0.7500
O27 O 0.7500 0.3884 0.7500
O28 O 0.7500 0.7500 0.1116
O29 O 0.7500 0.7500 0.3884
O30 O 0.7536 0.0965 0.4546
O31 O 0.7536 0.4035 0.0454
O32 O 0.8884 0.2500 0.2500
O33 O 0.9035 0.5454 0.2464
O34 O 0.9035 0.9546 0.2536
O35 O 0.9546 0.2464 0.5965
O36 O 0.9546 0.2536 0.9035
```



No. 6
Material: KIrO3
Method: DFT, SCAN
State: single point on PBEsol structure

Results
SG: Pm-3m (221)
calculated volume: 59.6 Å³ per cell
crystal system: cubic
E_form (uncorrected): -101 kJ per mole of atoms
DOS(E_F): 1.56 states/eV/f.u.

```
data_KIrO3
_space_group_name_H-M_alt 'P 1'
_space_group_IT_number 1
_space_group_name_Hall 'P 1'
_cell_length_a 3.9072
_cell_length_b 3.9072
_cell_length_c 3.9072
_cell_angle_alpha 90.00
_cell_angle_beta 90.00
_cell_angle_gamma 90.00
loop_
_atom_site_label
_atom_site_type_symbol
_atom_site_fract_x
_atom_site_fract_y
_atom_site_fract_z
K1 K 0.0000 0.0000 0.0000
Ir1 Ir 0.5000 0.5000 0.5000
O1 O 0.0000 0.5000 0.5000
O2 O 0.5000 0.0000 0.5000
O3 O 0.5000 0.5000 0.0000
```



No. 7
Material: K2Sm2IrO7
Method: DFT, SCAN
State: single point on PBEsol structure

Results
SG: R-3c (167)
calculated volume: 341.6 Å³ per cell
crystal system: trigonal
E_form (uncorrected): -225 kJ per mole of atoms

```
data_K2Sm2IrO7
_space_group_name_H-M_alt 'P 1'
_space_group_IT_number 1
_space_group_name_Hall 'P 1'
_cell_length_a 12.8954
_cell_length_b 12.8954
_cell_length_c 12.8954
_cell_angle_alpha 25.18
_cell_angle_beta 25.18
_cell_angle_gamma 25.18
loop_
_atom_site_label
_atom_site_type_symbol
_atom_site_fract_x
_atom_site_fract_y
_atom_site_fract_z
K1 K 0.0868 0.0868 0.0868
K2 K 0.4132 0.4132 0.4132
K3 K 0.5868 0.5868 0.5868
K4 K 0.9132 0.9132 0.9132
Sm1 Sm 0.1905 0.1905 0.1905
Sm2 Sm 0.3095 0.3095 0.3095
Sm3 Sm 0.6905 0.6905 0.6905
Sm4 Sm 0.8095 0.8095 0.8095
Ir1 Ir 0.0000 0.0000 0.0000
Ir2 Ir 0.5000 0.5000 0.5000
O1 O 0.1041 0.7028 0.2750
O2 O 0.2028 0.6041 0.7750
O3 O 0.2250 0.7972 0.3959
O4 O 0.2500 0.2500 0.2500
O5 O 0.2750 0.1041 0.7028
O6 O 0.2972 0.7250 0.8959
O7 O 0.3959 0.2250 0.7972
O8 O 0.6041 0.7750 0.2028
O9 O 0.7028 0.2750 0.1041
O10 O 0.7250 0.8959 0.2972
O11 O 0.7500 0.7500 0.7500
O12 O 0.7750 0.2028 0.6041
O13 O 0.7972 0.3959 0.2250
O14 O 0.8959 0.2972 0.7250
```



No. 8
Material: K2IrOs
Method: DFT, SCAN
State: single point on PBEsol structure

Results
SG: P4/mmm (123)
calculated volume: 77.0 Å³ per cell
crystal system: tetragonal
formation energy: 1116 meV per atom
E above lowest polymorph: 2.09 eV/f.u.
DOS(E_F): 2.45 states/eV/f.u.

```
data_K2IrOs
_space_group_name_H-M_alt 'P 1'
_space_group_IT_number 1
_space_group_name_Hall 'P 1'
_cell_length_a 3.7448
_cell_length_b 3.7448
_cell_length_c 5.4911
_cell_angle_alpha 90.00
_cell_angle_beta 90.00
_cell_angle_gamma 90.00
loop_
_atom_site_label
_atom_site_type_symbol
_atom_site_fract_x
_atom_site_fract_y
_atom_site_fract_z
K1 K 0.0000 0.5000 0.0000
K2 K 0.5000 0.0000 0.0000
Ir1 Ir 0.0000 0.0000 0.5000
Os1 Os 0.5000 0.5000 0.5000
```



No. 9
Material: K2IrOs
Method: DFT, SCAN
State: single point on PBEsol structure

Results
SG: R-3m (166)
calculated volume: 221.3 Å³ per cell
crystal system: trigonal
formation energy: 997 meV per atom
E above lowest polymorph: 1.61 eV/f.u.
DOS(E_F): 3.18 states/eV/f.u.

```
data_K2IrOs
_space_group_name_H-M_alt 'P 1'
_space_group_IT_number 1
_space_group_name_Hall 'P 1'
_cell_length_a 2.7540
_cell_length_b 2.7540
_cell_length_c 33.6923
_cell_angle_alpha 90.00
_cell_angle_beta 90.00
_cell_angle_gamma 120.00
loop_
_atom_site_label
_atom_site_type_symbol
_atom_site_fract_x
_atom_site_fract_y
_atom_site_fract_z
K1 K 0.0000 0.0000 0.2484
K2 K 0.0000 0.0000 0.7516
K3 K 0.3333 0.6667 0.4183
K4 K 0.3333 0.6667 0.9151
K5 K 0.6667 0.3333 0.0849
K6 K 0.6667 0.3333 0.5817
Ir1 Ir 0.0000 0.0000 0.5000
Ir2 Ir 0.3333 0.6667 0.1667
Ir3 Ir 0.6667 0.3333 0.8333
Os1 Os 0.0000 0.0000 0.0000
Os2 Os 0.3333 0.6667 0.6667
Os3 Os 0.6667 0.3333 0.3333
```



No. 10
Material: K2IrOs
Method: DFT, SCAN
State: single point on PBEsol structure

Results
SG: Fm-3m (225)
calculated volume: 361.9 Å³ per cell
crystal system: cubic
formation energy: 2262 meV per atom
E above lowest polymorph: 6.67 eV/f.u.
DOS(E_F): 3.22 states/eV/f.u.

```
data_K2IrOs
_space_group_name_H-M_alt 'P 1'
_space_group_IT_number 1
_space_group_name_Hall 'P 1'
_cell_length_a 7.1262
_cell_length_b 7.1262
_cell_length_c 7.1262
_cell_angle_alpha 90.00
_cell_angle_beta 90.00
_cell_angle_gamma 90.00
loop_
_atom_site_label
_atom_site_type_symbol
_atom_site_fract_x
_atom_site_fract_y
_atom_site_fract_z
K1 K 0.2500 0.2500 0.2500
K2 K 0.2500 0.2500 0.7500
K3 K 0.2500 0.7500 0.2500
K4 K 0.2500 0.7500 0.7500
K5 K 0.7500 0.2500 0.2500
K6 K 0.7500 0.2500 0.7500
K7 K 0.7500 0.7500 0.2500
K8 K 0.7500 0.7500 0.7500
Ir1 Ir 0.0000 0.0000 0.0000
Ir2 Ir 0.0000 0.5000 0.5000
Ir3 Ir 0.5000 0.0000 0.5000
Ir4 Ir 0.5000 0.5000 0.0000
Os1 Os 0.0000 0.0000 0.5000
Os2 Os 0.0000 0.5000 0.0000
Os3 Os 0.5000 0.0000 0.0000
Os4 Os 0.5000 0.5000 0.5000
```



No. 11
Material: K2IrOs
Method: DFT, SCAN
State: single point on PBEsol structure

Results
SG: C2/m (12)
calculated volume: 147.5 Å³ per cell
crystal system: monoclinic
formation energy: 1008 meV per atom
E above lowest polymorph: 1.65 eV/f.u.
DOS(E_F): 2.43 states/eV/f.u.

```
data_K2IrOs
_space_group_name_H-M_alt 'P 1'
_space_group_IT_number 1
_space_group_name_Hall 'P 1'
_cell_length_a 5.4160
_cell_length_b 11.2417
_cell_length_c 2.7423
_cell_angle_alpha 90.00
_cell_angle_beta 117.97
_cell_angle_gamma 90.00
loop_
_atom_site_label
_atom_site_type_symbol
_atom_site_fract_x
_atom_site_fract_y
_atom_site_fract_z
K1 K 0.2500 0.2500 0.0000
K2 K 0.2500 0.7500 0.0000
K3 K 0.7500 0.2500 0.0000
K4 K 0.7500 0.7500 0.0000
Ir1 Ir 0.0000 0.0000 0.5000
Ir2 Ir 0.5000 0.5000 0.5000
Os1 Os 0.0000 0.5000 0.5000
Os2 Os 0.5000 0.0000 0.5000
```



No. 12
Material: K2IrOs
Method: DFT, SCAN
State: single point on PBEsol structure

Results
SG: Immm (71)
calculated volume: 235.8 Å³ per cell
crystal system: orthorhombic
formation energy: 595 meV per atom
E above lowest polymorph: 0.00 eV/f.u.
DOS(E_F): 2.36 states/eV/f.u.

```
data_K2IrOs
_space_group_name_H-M_alt 'P 1'
_space_group_IT_number 1
_space_group_name_Hall 'P 1'
_cell_length_a 2.8078
_cell_length_b 4.2499
_cell_length_c 19.7611
_cell_angle_alpha 90.00
_cell_angle_beta 90.00
_cell_angle_gamma 90.00
loop_
_atom_site_label
_atom_site_type_symbol
_atom_site_fract_x
_atom_site_fract_y
_atom_site_fract_z
K1 K 0.0000 0.0000 0.1413
K2 K 0.0000 0.0000 0.8587
K3 K 0.5000 0.5000 0.3587
K4 K 0.5000 0.5000 0.6413
Ir1 Ir 0.0000 0.5000 0.5000
Ir2 Ir 0.5000 0.0000 0.0000
Os1 Os 0.0000 0.5000 0.0000
Os2 Os 0.5000 0.0000 0.5000
```



No. 13
Material: KP2Ir
Method: DFT, SCAN
State: single point on PBEsol structure

Results
SG: Immm (71)
calculated volume: 182.4 Å³ per cell
crystal system: orthorhombic
formation energy: -182 meV per atom
E above lowest polymorph: 1.21 eV/f.u.
DOS(E_F): 1.63 states/eV/f.u.

```
data_KP2Ir
_space_group_name_H-M_alt 'P 1'
_space_group_IT_number 1
_space_group_name_Hall 'P 1'
_cell_length_a 4.0068
_cell_length_b 6.2674
_cell_length_c 7.2627
_cell_angle_alpha 90.00
_cell_angle_beta 90.00
_cell_angle_gamma 90.00
loop_
_atom_site_label
_atom_site_type_symbol
_atom_site_fract_x
_atom_site_fract_y
_atom_site_fract_z
K1 K 0.0000 0.0000 0.0000
K2 K 0.5000 0.5000 0.5000
P1 P 0.0000 0.5000 0.1549
P2 P 0.0000 0.5000 0.8451
P3 P 0.5000 0.0000 0.3451
P4 P 0.5000 0.0000 0.6549
Ir1 Ir 0.0000 0.0000 0.5000
Ir2 Ir 0.5000 0.5000 0.0000
```



Respective M_tot values: 0.000; 0.696; 0.000; 0.001; 0.000; 0.398; 0.248; 0.192; 0.000; 0.803; 0.160; 0.015; 0.000 μB/atom.